[1]
Below is an optimized crystal structure of GaPNCl2, with properties calculated at the PBE-GGA level.

Results
Space-group type = No. 123
Offset from the most stable computed form = 544 meV/atom

```
data_GaPNCl2
_cell_length_a 4.866
_cell_length_b 4.866
_cell_length_c 4.983
_cell_angle_alpha 90.00
_cell_angle_beta 90.00
_cell_angle_gamma 90.00
_symmetry_space_group_name_H-M 'P 1'
_symmetry_Int_Tables_number 1
loop_
_symmetry_equiv_pos_as_xyz
'x,y,z'
loop_
_atom_site_label
_atom_site_type_symbol
_atom_site_fract_x
_atom_site_fract_y
_atom_site_fract_z
Ga1 Ga 0.000 0.000 0.000
P1 P 0.000 0.000 0.500
N1 N 0.500 0.500 0.500
Cl1 Cl 0.000 0.500 0.000
Cl2 Cl 0.500 0.000 0.000
```



[2]
Below is an optimized crystal structure of GaP2NCl, with properties calculated at the PBE-GGA level.

Results
Space-group type = No. 123
Offset from the most stable computed form = 540 meV/atom

```
data_GaP2NCl
_cell_length_a 4.957
_cell_length_b 4.957
_cell_length_c 3.668
_cell_angle_alpha 90.00
_cell_angle_beta 90.00
_cell_angle_gamma 90.00
_symmetry_space_group_name_H-M 'P 1'
_symmetry_Int_Tables_number 1
loop_
_symmetry_equiv_pos_as_xyz
'x,y,z'
loop_
_atom_site_label
_atom_site_type_symbol
_atom_site_fract_x
_atom_site_fract_y
_atom_site_fract_z
Ga1 Ga 0.000 0.000 0.000
P1 P 0.000 0.500 0.000
P2 P 0.500 0.000 0.000
N1 N 0.000 0.000 0.500
Cl1 Cl 0.500 0.500 0.500
```



[3]
Below is an optimized crystal structure of GaP3N3Cl9, with properties calculated at the PBE-GGA level.

Results
Space-group type = No. 14

```
data_GaP3N3Cl9
_cell_length_a 12.798
_cell_length_b 11.372
_cell_length_c 25.898
_cell_angle_alpha 90.00
_cell_angle_beta 91.41
_cell_angle_gamma 90.00
_symmetry_space_group_name_H-M 'P 1'
_symmetry_Int_Tables_number 1
loop_
_symmetry_equiv_pos_as_xyz
'x,y,z'
loop_
_atom_site_label
_atom_site_type_symbol
_atom_site_fract_x
_atom_site_fract_y
_atom_site_fract_z
Ga1 Ga 0.085 0.080 0.129
Ga2 Ga 0.085 0.420 0.629
Ga3 Ga 0.344 0.610 0.120
Ga4 Ga 0.344 0.890 0.620
Ga5 Ga 0.656 0.110 0.380
Ga6 Ga 0.656 0.390 0.880
Ga7 Ga 0.915 0.580 0.371
Ga8 Ga 0.915 0.920 0.871
P1 P 0.019 0.685 0.820
P2 P 0.019 0.815 0.320
P3 P 0.025 0.694 0.930
P4 P 0.025 0.806 0.430
P5 P 0.154 0.537 0.877
P6 P 0.154 0.963 0.377
P7 P 0.468 0.528 0.371
P8 P 0.468 0.972 0.871
P9 P 0.470 0.676 0.680
P10 P 0.470 0.824 0.180
P11 P 0.472 0.667 0.570
P12 P 0.472 0.833 0.070
P13 P 0.528 0.167 0.930
P14 P 0.528 0.333 0.430
P15 P 0.530 0.176 0.820
P16 P 0.530 0.324 0.320
P17 P 0.532 0.028 0.129
P18 P 0.532 0.472 0.629
P19 P 0.846 0.037 0.623
P20 P 0.846 0.463 0.123
P21 P 0.975 0.194 0.570
P22 P 0.975 0.306 0.070
P23 P 0.981 0.185 0.680
P24 P 0.981 0.315 0.180
N1 N 0.008 0.244 0.126
N2 N 0.008 0.256 0.626
N3 N 0.107 0.588 0.824
N4 N 0.107 0.912 0.324
N5 N 0.113 0.597 0.929
N6 N 0.113 0.903 0.429
N7 N 0.435 0.735 0.623
N8 N 0.435 0.765 0.123
N9 N 0.495 0.034 0.925
N10 N 0.495 0.466 0.425
N11 N 0.498 0.042 0.820
N12 N 0.498 0.458 0.320
N13 N 0.502 0.542 0.680
N14 N 0.502 0.958 0.180
N15 N 0.505 0.534 0.575
N16 N 0.505 0.966 0.075
N17 N 0.565 0.235 0.877
N18 N 0.565 0.265 0.377
N19 N 0.887 0.097 0.571
N20 N 0.887 0.403 0.071
N21 N 0.893 0.088 0.676
N22 N 0.893 0.412 0.176
N23 N 0.992 0.744 0.374
N24 N 0.992 0.756 0.874
Cl1 Cl 0.043 0.044 0.869
Cl2 Cl 0.043 0.456 0.369
Cl3 Cl 0.061 0.697 0.268
Cl4 Cl 0.061 0.803 0.768
Cl5 Cl 0.070 0.679 0.478
Cl6 Cl 0.070 0.821 0.978
Cl7 Cl 0.104 0.127 0.539
Cl8 Cl 0.104 0.373 0.039
Cl9 Cl 0.113 0.115 0.709
Cl10 Cl 0.113 0.385 0.209
Cl11 Cl 0.129 0.137 0.380
Cl12 Cl 0.129 0.363 0.880
Cl13 Cl 0.179 0.069 0.060
Cl14 Cl 0.179 0.431 0.560
Cl15 Cl 0.185 0.673 0.119
Cl16 Cl 0.185 0.827 0.619
Cl17 Cl 0.187 0.081 0.197
Cl18 Cl 0.187 0.419 0.697
Cl19 Cl 0.310 0.549 0.877
Cl20 Cl 0.310 0.951 0.377
Cl21 Cl 0.314 0.566 0.368
Cl22 Cl 0.314 0.934 0.868
Cl23 Cl 0.351 0.697 0.727
Cl24 Cl 0.351 0.803 0.227
Cl25 Cl 0.355 0.681 0.519
Cl26 Cl 0.355 0.819 0.019
Cl27 Cl 0.387 0.517 0.050
Cl28 Cl 0.387 0.983 0.550
Cl29 Cl 0.389 0.504 0.187
Cl30 Cl 0.389 0.996 0.687
Cl31 Cl 0.412 0.241 0.461
Cl32 Cl 0.412 0.259 0.961
Cl33 Cl 0.415 0.227 0.288
Cl34 Cl 0.415 0.273 0.788
Cl35 Cl 0.465 0.186 0.130
Cl36 Cl 0.465 0.314 0.630
Cl37 Cl 0.535 0.686 0.370
Cl38 Cl 0.535 0.814 0.870
Cl39 Cl 0.585 0.727 0.212
Cl40 Cl 0.585 0.773 0.712
Cl41 Cl 0.588 0.741 0.039
Cl42 Cl 0.588 0.759 0.539
Cl43 Cl 0.611 0.004 0.313
Cl44 Cl 0.611 0.496 0.813
Cl45 Cl 0.613 0.017 0.450
Cl46 Cl 0.613 0.483 0.950
Cl47 Cl 0.645 0.181 0.981
Cl48 Cl 0.645 0.319 0.481
Cl49 Cl 0.649 0.197 0.773
Cl50 Cl 0.649 0.303 0.273
Cl51 Cl 0.686 0.066 0.132
Cl52 Cl 0.686 0.434 0.632
Cl53 Cl 0.690 0.049 0.623
Cl54 Cl 0.690 0.451 0.123
Cl55 Cl 0.813 0.581 0.303
Cl56 Cl 0.813 0.919 0.803
Cl57 Cl 0.815 0.173 0.381
Cl58 Cl 0.815 0.327 0.881
Cl59 Cl 0.821 0.569 0.440
Cl60 Cl 0.821 0.931 0.940
Cl61 Cl 0.871 0.637 0.120
Cl62 Cl 0.871 0.863 0.620
Cl63 Cl 0.887 0.615 0.791
Cl64 Cl 0.887 0.885 0.291
Cl65 Cl 0.896 0.627 0.961
Cl66 Cl 0.896 0.873 0.461
Cl67 Cl 0.930 0.179 0.022
Cl68 Cl 0.930 0.321 0.522
Cl69 Cl 0.939 0.197 0.232
Cl70 Cl 0.939 0.303 0.732
Cl71 Cl 0.957 0.544 0.631
Cl72 Cl 0.957 0.956 0.131
```



| no. | M_tot (μB/f.u.) | ΔE_f (raw) (eV/atom) |
| --- | --- | --- |
| 1 | 1.1 | 0.995 |
| 2 | 0.0 | 1.213 |
| 3 | 0.2 | -0.709 |